(1)
A plane-wave DFT calculation with PBEsol was carried out for SnHPt3 after structural relaxation.

Properties
E_tot ... -5.836 eV/atom

Cell lengths 4.072, 4.072, 4.072 Å; angles 90.00, 90.00, 90.00 degrees
Atoms (fractional coordinates):
H 0.000 0.000 0.000
Pt 0.000 0.000 0.500
Sn 0.500 0.500 0.500
Pt 0.000 0.500 0.000
Pt 0.500 0.000 0.000



(2)
A plane-wave DFT calculation with PBEsol was carried out for AlRh2Br after structural relaxation.

Properties
E_tot ... -5.413 eV/atom
E_form (uncorrected) ... 0.1465 eV/atom
Energy relative to the lowest polymorph listed for this composition ... 35 kJ/mol of formula units

Cell lengths 4.391, 4.391, 4.391 Å; angles 60.00, 60.00, 60.00 degrees
Site moments in Bohr magnetons follow the coordinates.
Atoms (fractional coordinates):
Al 0.000 0.000 0.000  -0.01
Rh 0.250 0.250 0.250  0.24
Rh 0.750 0.750 0.750  0.24
Br 0.500 0.500 0.500  0.03



(3)
A plane-wave DFT calculation with PBEsol was carried out for CrIn2Pb after structural relaxation.

Properties
E_tot ... -4.682 eV/atom
Calculated formation energy ... 0.370 eV/atom

Cell lengths 3.130, 4.736, 6.919 Å; angles 110.01, 103.07, 90.00 degrees
Site moments in Bohr magnetons follow the coordinates.
Atoms (fractional coordinates):
Pb 0.500 0.000 0.000  -0.08
In 0.695 0.695 0.390  0.00
In 0.305 0.305 0.610  0.00
Cr 0.000 0.500 0.000  3.23



(4)
A plane-wave DFT calculation with PBEsol was carried out for TlCd3 after structural relaxation.

Properties
E_tot ... -1.495 eV/atom
Calculated formation energy ... 0.060 eV/atom

Cell lengths 3.131, 5.529, 5.529 Å; angles 107.78, 90.00, 90.00 degrees
Atoms (fractional coordinates):
Cd 0.500 0.000 0.500
Tl 0.000 0.000 0.000
Cd 0.500 0.500 0.000
Cd 0.000 0.500 0.500



(5)
A plane-wave DFT calculation with PBEsol was carried out for Dy3Sb5O12 after structural relaxation.

Properties
E_tot ... -7.313 eV/atom
E_form (uncorrected) ... -2.2775 eV/atom

Cell lengths 9.262, 9.262, 9.262 Å; angles 109.47, 109.47, 109.47 degrees
Atoms (fractional coordinates):
Sb 0.721 0.000 0.721
Dy 0.750 0.500 0.250
O 0.479 0.202 0.000
O 0.708 0.000 0.503
O 0.277 0.798 0.798
O 0.000 0.708 0.503
Sb 0.000 0.279 0.279
O 0.000 0.202 0.479
O 0.497 0.497 0.205
Sb 0.279 0.000 0.279
Dy 0.500 0.750 0.250
Dy 0.250 0.750 0.500
Sb 0.000 0.519 0.000
O 0.521 0.521 0.723
O 0.798 0.277 0.798
Sb 0.279 0.279 0.000
O 0.292 0.292 0.795
O 0.202 0.000 0.479
O 0.503 0.708 0.000
O 0.521 0.723 0.521
Sb 0.000 0.721 0.721
Dy 0.750 0.250 0.500
O 0.000 0.503 0.708
O 0.723 0.521 0.521
O 0.292 0.795 0.292
Dy 0.500 0.250 0.750
O 0.000 0.479 0.202
O 0.708 0.503 0.000
O 0.479 0.000 0.202
Sb 0.481 0.481 0.481
O 0.795 0.292 0.292
O 0.205 0.497 0.497
Sb 0.519 0.000 0.000
Sb 0.721 0.721 0.000
O 0.503 0.000 0.708
O 0.798 0.798 0.277
O 0.497 0.205 0.497
Sb 0.000 0.000 0.519
Dy 0.250 0.500 0.750
O 0.202 0.479 0.000



(6)
A plane-wave DFT calculation with PBEsol was carried out for Tl3Cd after structural relaxation.

Properties
E_tot ... -2.225 eV/atom
Calculated formation energy ... 0.047 eV/atom

Cell lengths 3.341, 3.341, 10.969 Å; angles 90.00, 90.00, 120.00 degrees
Atoms (fractional coordinates):
Tl 0.000 0.000 0.500
Cd 0.000 0.000 0.000
Tl 0.333 0.667 0.763
Tl 0.333 0.667 0.237



(7)
A plane-wave DFT calculation with PBEsol was carried out for La2Ir after structural relaxation.

Properties
E_tot ... -7.337 eV/atom
Calculated formation energy ... -0.498 eV/atom

Cell lengths 4.937, 4.937, 4.937 Å; angles 60.00, 60.00, 60.00 degrees
Atoms (fractional coordinates):
La 0.750 0.750 0.750
Ir 0.000 0.000 0.000
La 0.250 0.250 0.250



(8)
A plane-wave DFT calculation with PBEsol was carried out for Sr2NiAg after structural relaxation.

Properties
E_tot ... -3.104 eV/atom
Calculated formation energy ... 0.184 eV/atom

Cell lengths 4.384, 4.384, 6.090 Å; angles 111.09, 111.09, 90.00 degrees
Atoms (fractional coordinates):
Sr 0.000 0.000 0.000
Ag 0.500 0.500 0.000
Ni 0.250 0.750 0.500
Sr 0.750 0.250 0.500



(9)
A plane-wave DFT calculation with PBEsol was carried out for YInPt after structural relaxation.

Properties
E_tot ... -6.615 eV/atom
Calculated formation energy ... -1.025 eV/atom

Cell lengths 3.864, 7.523, 7.523 Å; angles 120.00, 90.00, 90.00 degrees
Atoms (fractional coordinates):
In 0.000 0.741 0.000
Pt 0.000 0.333 0.667
Y 0.500 0.000 0.407
In 0.000 0.000 0.741
In 0.000 0.259 0.259
Pt 0.500 0.000 0.000
Pt 0.000 0.667 0.333
Y 0.500 0.593 0.593
Y 0.500 0.407 0.000



(10)
A plane-wave DFT calculation with PBEsol was carried out for KLiCo after structural relaxation.

Properties
E_tot ... -2.672 eV/atom
Energy relative to the lowest polymorph listed for this composition ... 24 kJ/mol of formula units
Calculated formation energy ... 0.941 eV/atom

Cell lengths 2.666, 5.134, 5.134 Å; angles 120.00, 90.00, 90.00 degrees
Site moments in Bohr magnetons follow the coordinates.
Atoms (fractional coordinates):
Co 0.007 0.000 0.000  1.57
K 0.547 0.333 0.667  -0.03
Li 0.446 0.667 0.333  -0.02



(11)
A plane-wave DFT calculation with PBEsol was carried out for SrPAu after structural relaxation.

Properties
E_tot ... -4.789 eV/atom
Calculated formation energy ... -0.937 eV/atom

Cell lengths 4.298, 4.298, 8.402 Å; angles 90.00, 90.00, 120.00 degrees
Atoms (fractional coordinates):
Au 0.333 0.667 0.750
P 0.667 0.333 0.750
Au 0.667 0.333 0.250
P 0.333 0.667 0.250
Sr 0.000 0.000 0.500
Sr 0.000 0.000 0.000



(12)
A plane-wave DFT calculation with PBEsol was carried out for TeRuBr2 after structural relaxation.

Properties
E_tot ... -4.533 eV/atom
E_form (uncorrected) ... -0.1730 eV/atom

Cell lengths 3.900, 3.900, 8.041 Å; angles 90.00, 90.00, 120.00 degrees
Atoms (fractional coordinates):
Ru 0.667 0.333 0.477
Br 0.333 0.667 0.024
Te 0.333 0.667 0.340
Br 0.000 0.000 0.659



Which formula does entry 5 have?
Dy3Sb5O12



Which formula does entry 3 have?
CrIn2Pb